## LiCd3Pd4 (GGA-PBE)

Data for an optimized crystal structure of LiCd3Pd4.

The structure in extended XYZ format:
```
8
Lattice="-2.745 4.621 2.724 2.745 -4.621 2.724 2.745 4.621 -2.724" Properties=species:S:1:pos:R:3 pbc="T T T"
Li 0.000 0.000 0.000
Cd 2.745 0.000 0.390
Cd 2.745 2.487 -1.042
Cd 0.000 2.134 1.681
Pd 2.745 -2.358 1.697
Pd 2.745 2.358 1.697
Pd 1.349 4.621 0.378
Pd 1.396 0.000 3.102
```

Values from the calculation:
Fermi-level density of states ... 2.4 states/eV/f.u.
Energy above the most stable polymorph in this dataset ... 148 meV per atom
Final energy ... -3.45 eV per atom
Total magnetization ... 0.000 μB per atom